Entry 1:
{"formula": "LiWAu", "functional": "PBE", "state": "relaxed", "density_g_cm3": 14.0, "e_form_kj_per_mol_atoms": 40.0, "relative_energy_mev_per_atom": 262, "n_ef_per_ev_cell": 2.802, "lattice_angstrom": [[4.4700, 0.0000, 0.0000], [-2.2350, 3.8712, 0.0000], [0.0000, 0.0000, 2.6574]], "species": ["Li", "W", "Au"], "fractional_positions": [[0.0000, 0.0000, 0.0000], [0.6667, 0.3333, 0.5000], [0.3333, 0.6667, 0.0000]]}

Entry 2:
{"formula": "Rb2Li2AgF7", "functional": "PBE", "state": "relaxed", "e_form_raw_ev_per_atom": -2.154, "density_g_cm3": 3.6, "n_ef_per_ev_cell": 4.596, "lattice_angstrom": [[2.8573, -3.3696, 0.0000], [2.8573, 3.3696, 0.0000], [-1.8868, 0.0000, 10.1359]], "species": ["Rb", "Rb", "Li", "Li", "Ag", "F", "F", "F", "F", "F", "F", "F"], "fractional_positions": [[0.2113, 0.2113, 0.3656], [0.7887, 0.7887, 0.6344], [0.3430, 0.3430, 0.8285], [0.6570, 0.6570, 0.1715], [0.0000, 0.0000, 0.0000], [0.1325, 0.7574, 0.1421], [0.2426, 0.8675, 0.8579], [0.3041, 0.3041, 0.6410], [0.5000, 0.5000, 0.0000], [0.6959, 0.6959, 0.3590], [0.7574, 0.1325, 0.1421], [0.8675, 0.2426, 0.8579]]}

Entry 3:
{"formula": "KGaAuF6", "functional": "PBE", "state": "relaxed", "e_form_raw_ev_per_atom": -2.086, "density_g_cm3": 4.4, "lattice_angstrom": [[5.4705, 0.0000, 0.0000], [-0.1400, 5.6454, 0.0000], [-0.1469, -2.5233, 5.0843]], "species": ["K", "Ga", "Au", "F", "F", "F", "F", "F", "F"], "fractional_positions": [[0.0000, 0.0000, 0.0000], [0.4975, 0.6654, 0.3334], [0.4998, 0.3287, 0.6745], [0.2645, 0.6641, 0.0912], [0.3033, 0.3813, 0.3669], [0.3304, 0.9545, 0.6262], [0.6662, 0.3726, 0.0439], [0.6980, 0.6347, 0.6134], [0.7235, 0.9099, 0.3253]]}

Entry 4:
{"formula": "UAsRuS", "functional": "PBE", "state": "relaxed", "e_form_raw_ev_per_atom": -0.789, "density_g_cm3": 10.1, "n_ef_per_ev_cell": 15.453, "lattice_angstrom": [[4.2221, 0.0000, 0.0000], [0.0000, 4.2221, 0.0000], [0.0000, 0.0000, 8.2551]], "species": ["U", "U", "As", "As", "Ru", "Ru", "S", "S"], "fractional_positions": [[0.2500, 0.2500, 0.2073], [0.7500, 0.7500, 0.7927], [0.2500, 0.2500, 0.6611], [0.7500, 0.7500, 0.3389], [0.2500, 0.7500, 0.5000], [0.7500, 0.2500, 0.5000], [0.2500, 0.7500, 0.0000], [0.7500, 0.2500, 0.0000]]}